# 1
Below is Tl2PPt after structural relaxation, with properties calculated at the PBE-GGA level.

POSCAR file:
```
Tl2PPt
1.0
3.993 -3.780 0.000
3.993 3.780 0.000
-0.916 0.000 2.905
Tl P Pt
2 1 1
direct
0.000 0.500 0.000 Tl
0.500 0.000 0.000 Tl
0.000 0.000 0.500 P
0.500 0.500 0.500 Pt
```

Computed properties:
Formation energy   1.473 eV per formula unit
Energy above the most stable polymorph in this dataset   0.465 eV per atom
Calculated density   12.0 g/cm³

# 2
Below is TlP2Pt2 after structural relaxation, with properties calculated at the PBE-GGA level.

POSCAR file:
```
TlP2Pt2
1.0
-2.222 2.222 5.159
2.222 -2.222 5.159
2.222 2.222 -5.159
Tl P Pt
1 2 2
direct
0.000 0.000 0.000 Tl
0.250 0.750 0.500 P
0.750 0.250 0.500 P
0.337 0.337 0.000 Pt
0.663 0.663 0.000 Pt
```

Computed properties:
Formation energy   -0.947 eV per formula unit
Energy above the most stable polymorph in this dataset   0.033 eV per atom
Calculated density   10.7 g/cm³

# 3
Below is Tl2PPt after structural relaxation, with properties calculated at the PBE-GGA level.

POSCAR file:
```
Tl2PPt
1.0
3.916 0.000 0.000
0.000 2.666 4.775
0.000 -2.666 4.775
Tl P Pt
2 1 1
direct
0.000 0.000 0.000 Tl
0.500 0.363 0.363 Tl
0.500 0.735 0.735 P
0.000 0.609 0.609 Pt
```

Computed properties:
Formation energy   -0.387 eV per formula unit
Energy above the most stable polymorph in this dataset   0.000 eV per atom
Calculated density   10.6 g/cm³

# 4
Below is Tl2PPt after structural relaxation, with properties calculated at the PBE-GGA level.

POSCAR file:
```
Tl2PPt
1.0
3.322 0.000 0.000
0.000 3.322 0.000
0.000 0.000 8.603
Tl P Pt
2 1 1
direct
0.000 0.000 0.000 Tl
0.500 0.500 0.357 Tl
0.000 0.000 0.634 P
0.500 0.500 0.719 Pt
```

Computed properties:
Formation energy   -0.297 eV per formula unit
Energy above the most stable polymorph in this dataset   0.022 eV per atom
Calculated density   11.1 g/cm³

# 5
Below is TlP2Pt3 after structural relaxation, with properties calculated at the PBE-GGA level.

POSCAR file:
```
TlP2Pt3
1.0
7.370 0.000 0.000
-3.685 6.383 0.000
0.000 0.000 4.569
Tl P Pt
2 4 6
direct
0.333 0.667 0.373 Tl
0.667 0.333 0.627 Tl
0.000 0.000 0.000 P
0.000 0.500 0.000 P
0.500 0.000 0.000 P
0.500 0.500 0.000 P
0.156 0.311 0.731 Pt
0.156 0.844 0.731 Pt
0.311 0.156 0.269 Pt
0.689 0.844 0.731 Pt
0.844 0.156 0.269 Pt
0.844 0.689 0.269 Pt
```

Computed properties:
Formation energy   -0.133 eV per formula unit
Calculated density   13.2 g/cm³

# 6
Below is TlP2Pt after structural relaxation, with properties calculated at the PBE-GGA level.

POSCAR file:
```
TlP2Pt
1.0
-1.601 3.120 4.202
1.601 -3.120 4.202
1.601 3.120 -4.202
Tl P Pt
1 2 1
direct
0.000 0.000 0.000 Tl
0.319 0.819 0.500 P
0.496 0.496 0.000 P
0.699 0.199 0.500 Pt
```

Computed properties:
Formation energy   1.133 eV per formula unit
Energy above the most stable polymorph in this dataset   0.556 eV per atom
Calculated density   9.1 g/cm³

# 7
Below is Tl2PPt after structural relaxation, with properties calculated at the PBE-GGA level.

POSCAR file:
```
Tl2PPt
1.0
-3.199 3.199 5.777
3.199 -3.199 5.777
3.199 3.199 -5.777
Tl P Pt
4 2 2
direct
0.118 0.625 0.993 Tl
0.375 0.368 0.493 Tl
0.632 0.125 0.007 Tl
0.875 0.882 0.507 Tl
0.000 0.000 0.000 P
0.750 0.250 0.500 P
0.250 0.750 0.500 Pt
0.500 0.500 0.000 Pt
```

Computed properties:
Formation energy   1.602 eV per formula unit
Energy above the most stable polymorph in this dataset   0.497 eV per atom
Calculated density   8.9 g/cm³

# 8
Below is TlPPt2 after structural relaxation, with properties calculated at the PBE-GGA level.

POSCAR file:
```
TlPPt2
1.0
1.753 1.012 7.523
-1.753 1.012 7.523
0.000 -2.024 7.523
Tl P Pt
1 1 2
direct
0.000 0.000 0.000 Tl
0.778 0.778 0.778 P
0.243 0.243 0.243 Pt
0.495 0.495 0.495 Pt
```

Computed properties:
Formation energy   -0.297 eV per formula unit
Energy above the most stable polymorph in this dataset   0.126 eV per atom
Calculated density   13.0 g/cm³

# 9
Below is TlPPt2 after structural relaxation, with properties calculated at the PBE-GGA level.

POSCAR file:
```
TlPPt2
1.0
-1.977 1.977 4.459
1.977 -1.977 4.459
1.977 1.977 -4.459
Tl P Pt
1 1 2
direct
0.000 0.000 0.000 Tl
0.250 0.750 0.500 P
0.500 0.500 0.000 Pt
0.750 0.250 0.500 Pt
```

Computed properties:
Formation energy   0.972 eV per formula unit
Energy above the most stable polymorph in this dataset   0.443 eV per atom
Calculated density   14.9 g/cm³

# 10
Below is TlP2Pt after structural relaxation, with properties calculated at the PBE-GGA level.

POSCAR file:
```
TlP2Pt
1.0
4.306 0.000 0.000
0.000 3.797 0.000
-1.253 0.000 5.325
Tl P Pt
1 2 1
direct
0.000 0.000 0.000 Tl
0.236 0.500 0.624 P
0.764 0.500 0.376 P
0.500 0.000 0.500 Pt
```

Computed properties:
Formation energy   -1.092 eV per formula unit
Energy above the most stable polymorph in this dataset   0.000 eV per atom
Calculated density   8.8 g/cm³

# 11
Below is TlPPt2 after structural relaxation, with properties calculated at the PBE-GGA level.

POSCAR file:
```
TlPPt2
1.0
-1.536 2.813 4.360
1.536 -2.813 4.360
1.536 2.813 -4.360
Tl P Pt
1 1 2
direct
0.000 0.000 0.000 Tl
0.500 0.500 0.000 P
0.297 0.797 0.500 Pt
0.703 0.203 0.500 Pt
```

Computed properties:
Formation energy   0.551 eV per formula unit
Energy above the most stable polymorph in this dataset   0.338 eV per atom
Calculated density   13.8 g/cm³

# 12
Below is Tl2PPt after structural relaxation, with properties calculated at the PBE-GGA level.

POSCAR file:
```
Tl2PPt
1.0
1.972 1.139 6.668
-1.972 1.139 6.668
0.000 -2.278 6.668
Tl P Pt
2 1 1
direct
0.249 0.249 0.249 Tl
0.751 0.751 0.751 Tl
0.500 0.500 0.500 P
0.000 0.000 0.000 Pt
```

Computed properties:
Formation energy   1.106 eV per formula unit
Energy above the most stable polymorph in this dataset   0.373 eV per atom
Calculated density   11.7 g/cm³